[1]
The following is a DFT calculation (PBE-GGA) of a geometry-optimized Ta2C2F structure.

Geometry as extended XYZ:
```
10
Lattice="4.090 0.000 0.000 0.000 4.090 0.000 0.000 0.000 8.943" Properties=species:S:1:pos:R:3 pbc="T T T"
Ta 0.000 2.045 2.236
Ta 0.000 2.045 6.707
Ta 2.045 0.000 2.236
Ta 2.045 0.000 6.707
C 0.000 0.000 1.642
C 0.000 0.000 7.300
C 2.045 2.045 2.829
C 2.045 2.045 6.114
F 0.000 0.000 4.471
F 2.045 2.045 0.000
```

Properties
M_tot = 0.000 μB/atom
polymorph energy (0 for the lowest one) = 0.0 kJ/mol of atoms
raw formation energy = -0.1367 eV per atom
uncorrected energy = -8.94 eV per atom
SG = I4/mmm

[2]
The following is a DFT calculation (PBE-GGA) of a geometry-optimized BaNi2Hg structure.

Geometry as extended XYZ:
```
4
Lattice="3.493 0.000 0.000 0.000 3.493 0.000 0.000 0.000 6.955" Properties=species:S:1:pos:R:3 pbc="T T T"
Ba 0.000 0.000 0.000
Ni 1.746 1.746 2.263
Ni 1.746 1.746 4.692
Hg 0.000 0.000 3.478
```

Properties
M_tot = 0.000 μB/atom
uncorrected energy = -3.16 eV per atom
SG = P4/mmm

[3]
The following is a DFT calculation (PBE-GGA) of a geometry-optimized Al2CdAg2 structure.

Geometry as extended XYZ:
```
15
Lattice="3.017 0.000 0.000 -1.508 2.612 0.000 0.000 0.000 34.034" Properties=species:S:1:pos:R:3 pbc="T T T"
Al 0.000 0.000 6.783
Al 0.000 0.000 27.250
Al 0.000 1.742 15.906
Al 0.000 1.742 29.472
Al 1.508 0.871 4.561
Al 1.508 0.871 18.128
Cd 0.000 0.000 0.000
Cd 0.000 1.742 22.689
Cd 1.508 0.871 11.345
Ag 0.000 0.000 13.786
Ag 0.000 0.000 20.247
Ag 0.000 1.742 2.442
Ag 0.000 1.742 8.903
Ag 1.508 0.871 25.131
Ag 1.508 0.871 31.592
```

Properties
M_tot = 0.000 μB/atom
polymorph energy (0 for the lowest one) = 0.0 kJ/mol of atoms
uncorrected energy = -2.86 eV per atom
SG = R-3m

[4]
The following is a DFT calculation (PBE-GGA) of a geometry-optimized LiYFe structure.

Geometry as extended XYZ:
```
6
Lattice="1.935 1.117 10.941 -1.935 1.117 10.941 0.000 -2.234 10.941" Properties=species:S:1:pos:R:3 pbc="T T T"
Li 0.000 0.000 0.000
Li 0.000 0.000 9.104
Y 0.000 0.000 13.645
Y 0.000 0.000 17.394
Fe 0.000 0.000 4.580
Fe 0.000 0.000 26.452
```

Properties
M_tot = 0.380 μB/atom
polymorph energy (0 for the lowest one) = 0.8 kJ/mol of atoms
uncorrected energy = -5.57 eV per atom
SG = R3m

[5]
The following is a DFT calculation (PBE-GGA) of a geometry-optimized Th4PdRh2 structure.

Geometry as extended XYZ:
```
14
Lattice="14.391 0.000 0.000 0.000 4.094 0.000 -3.731 0.000 6.401" Properties=species:S:1:pos:R:3 pbc="T T T"
Th 0.473 0.000 2.087
Th -0.956 2.047 4.903
Th 4.420 0.000 1.498
Th 2.991 2.047 4.314
Th 7.669 2.047 2.087
Th 6.240 0.000 4.903
Th 11.616 2.047 1.498
Th 10.187 0.000 4.314
Pd 0.000 2.047 0.000
Pd 7.196 0.000 0.000
Rh 2.442 2.047 1.443
Rh 1.022 0.000 4.958
Rh 9.638 0.000 1.443
Rh 8.218 2.047 4.958
```

Properties
M_tot = 0.000 μB/atom
uncorrected energy = -7.71 eV per atom
SG = C2/m

[6]
The following is a DFT calculation (PBE-GGA) of a geometry-optimized EuTiAs2 structure.

Geometry as extended XYZ:
```
12
Lattice="3.894 0.000 0.000 -1.947 3.372 0.000 0.000 0.000 20.066" Properties=species:S:1:pos:R:3 pbc="T T T"
Eu 0.000 0.000 0.000
Eu 0.000 2.248 13.377
Eu 1.947 1.124 6.689
Ti 0.000 0.000 10.033
Ti 0.000 2.248 3.344
Ti 1.947 1.124 16.722
As 0.000 0.000 4.745
As 0.000 0.000 15.321
As 0.000 2.248 8.633
As 0.000 2.248 18.122
As 1.947 1.124 1.944
As 1.947 1.124 11.434
```

Properties
M_tot = 1.727 μB/atom
uncorrected energy = -7.91 eV per atom
SG = R-3m

[7]
The following is a DFT calculation (PBE-GGA) of a geometry-optimized TbPa2P structure.

Geometry as extended XYZ:
```
12
Lattice="3.458 0.000 0.000 -1.729 2.995 0.000 0.000 0.000 30.262" Properties=species:S:1:pos:R:3 pbc="T T T"
Tb 0.000 0.000 0.000
Tb 0.000 1.997 20.174
Tb 1.729 0.998 10.087
Pa 0.000 0.000 3.185
Pa 0.000 0.000 27.076
Pa 0.000 1.997 16.989
Pa 0.000 1.997 23.360
Pa 1.729 0.998 6.902
Pa 1.729 0.998 13.272
P 0.000 0.000 15.131
P 0.000 1.997 5.044
P 1.729 0.998 25.218
```

Properties
M_tot = 0.000 μB/atom
uncorrected energy = -7.40 eV per atom
SG = R-3m